(1)
# NaCa2YFe, optimized geometry, DFT PBE
# **Density of states at the Fermi level**: 1.346 states/eV per atom
# **DFT total energy**: -2.604 eV per atom
# **Calculated formation energy**: 1.45 eV per atom
# **Crystal system**: tetragonal
data_NaCa2YFe
_chemical_formula_sum 'Na1 Ca2 Y1 Fe1'
_cell_length_a 5.494
_cell_length_b 5.494
_cell_length_c 5.771
_cell_angle_alpha 90.00
_cell_angle_beta 90.00
_cell_angle_gamma 90.00
_space_group_name_H-M_alt 'P 4/m m m'
_space_group_IT_number 123
_space_group_name_Hall '-P 4 2'
loop_
_atom_site_label
_atom_site_fract_x
_atom_site_fract_y
_atom_site_fract_z
_atom_site_occupancy
Na1 0.000 0.000 0.000 1
Ca1 0.000 0.500 0.000 1
Y1 0.000 0.000 0.500 1
Fe1 0.500 0.500 0.500 1



(2)
# TbPrTlAg, optimized geometry, DFT PBE
# **Density of states at the Fermi level**: 0.916 states/eV per atom
# **DFT total energy**: -3.976 eV per atom
# **E above lowest polymorph**: 0.010 eV/atom
# **Calculated formation energy**: -0.32 eV per atom
# **Crystal system**: cubic
data_TbPrTlAg
_chemical_formula_sum 'Tb4 Pr4 Tl4 Ag4'
_cell_length_a 7.611
_cell_length_b 7.611
_cell_length_c 7.611
_cell_angle_alpha 90.00
_cell_angle_beta 90.00
_cell_angle_gamma 90.00
_space_group_name_H-M_alt 'F -4 3 m'
_space_group_IT_number 216
_space_group_name_Hall 'F -4 2 3'
loop_
_atom_site_label
_atom_site_fract_x
_atom_site_fract_y
_atom_site_fract_z
_atom_site_occupancy
Tb1 0.000 0.000 0.000 1
Pr1 0.000 0.000 0.500 1
Tl1 0.250 0.250 0.750 1
Ag1 0.250 0.250 0.250 1



(3)
# BaRu3Pb, optimized geometry, DFT PBE
# **Density of states at the Fermi level**: 1.390 states/eV per atom
# **DFT total energy**: -5.275 eV per atom
# **E above lowest polymorph**: 0.000 eV/atom
# **Calculated formation energy**: 1.42 eV per atom
# **Crystal system**: cubic
data_BaRu3Pb
_chemical_formula_sum 'Ba1 Ru3 Pb1'
_cell_length_a 5.122
_cell_length_b 5.122
_cell_length_c 5.122
_cell_angle_alpha 90.00
_cell_angle_beta 90.00
_cell_angle_gamma 90.00
_space_group_name_H-M_alt 'P m -3 m'
_space_group_IT_number 221
_space_group_name_Hall '-P 4 2 3'
loop_
_atom_site_label
_atom_site_fract_x
_atom_site_fract_y
_atom_site_fract_z
_atom_site_occupancy
Ba1 0.000 0.000 0.000 1
Ru1 0.000 0.500 0.500 1
Pb1 0.500 0.500 0.500 1



(4)
# Ac3Ga8Pd3, optimized geometry, DFT PBE
# **Density of states at the Fermi level**: 0.355 states/eV per atom
# **DFT total energy**: -4.381 eV per atom
# **E above lowest polymorph**: 0.000 eV/atom
# **Calculated formation energy**: -0.66 eV per atom
# **Crystal system**: orthorhombic
data_Ac3Ga8Pd3
_chemical_formula_sum 'Ac6 Ga16 Pd6'
_cell_length_a 4.495
_cell_length_b 10.213
_cell_length_c 12.930
_cell_angle_alpha 90.00
_cell_angle_beta 90.00
_cell_angle_gamma 90.00
_space_group_name_H-M_alt 'I m m m'
_space_group_IT_number 71
_space_group_name_Hall '-I 2 2'
loop_
_atom_site_label
_atom_site_fract_x
_atom_site_fract_y
_atom_site_fract_z
_atom_site_occupancy
Ac1 0.000 0.000 0.000 1
Ac2 0.000 0.000 0.319 1
Ga1 0.000 0.277 0.127 1
Ga2 0.000 0.363 0.332 1
Pd1 0.000 0.222 0.500 1
Pd2 0.000 0.500 0.000 1